Entry A
A geometry-optimized RuS2N2 structure. Source: Alexandria, functional GGA-PBE.

The structure in POSCAR format:
```
RuS2N2
1.0
-2.594 -1.247 -2.015
2.233 -2.287 -1.459
-1.030 -3.058 3.218
Ru S N
1 2 2
Direct
0.500 0.500 0.500 Ru
0.000 0.000 0.500 S
0.000 0.000 0.000 S
0.500 0.000 0.000 N
0.000 0.500 0.000 N
```

Results
volume	56.3	Å³/cell


Entry B
A geometry-optimized RuS2N2 structure. Source: Alexandria, functional GGA-PBE.

The structure in POSCAR format:
```
RuS2N2
1.0
-3.363 2.392 2.414
-2.863 -0.167 -3.825
-1.401 -3.168 1.187
S N Ru
2 2 1
Direct
0.500 0.000 0.000 S
0.000 0.500 0.000 S
0.000 0.000 0.500 N
0.500 0.500 0.500 N
0.000 0.000 0.000 Ru
```

Results
volume	83.7	Å³/cell


Structures ranked by computed energy, the most stable listed first: entry B, entry A.


Entry A
A geometry-optimized SbRuSN2 structure. Source: Alexandria, functional GGA-PBE.

The structure in POSCAR format:
```
SbRuSN2
1.0
3.939 0.000 0.000
0.000 3.939 0.000
0.000 0.000 5.305
S Sb Ru N
1 1 1 2
Direct
0.000 0.000 0.500 S
0.000 0.000 0.000 Sb
0.500 0.500 0.500 Ru
0.500 0.000 0.000 N
0.000 0.500 0.000 N
```

Results
volume	82.3	Å³/cell


Entry B
A geometry-optimized SbRuSN2 structure. Source: Alexandria, functional GGA-PBE.

The structure in POSCAR format:
```
SbRuSN2
1.0
3.887 0.000 0.000
0.000 3.887 0.000
0.000 0.000 4.998
N S Ru Sb
2 1 1 1
Direct
0.500 0.000 0.000 N
0.000 0.500 0.000 N
0.000 0.000 0.500 S
0.000 0.000 0.000 Ru
0.500 0.500 0.500 Sb
```

Results
volume	75.5	Å³/cell


Structures ranked by computed energy, the most stable listed first: entry B, entry A.


Entry A
A geometry-optimized SbRuS2N structure. Source: Alexandria, functional GGA-PBE.

The structure in POSCAR format:
```
SbRuS2N
1.0
-4.798 0.301 0.796
-0.806 -3.069 -3.699
0.206 -2.850 2.320
S Sb N Ru
2 1 1 1
Direct
0.500 0.000 0.000 S
0.000 0.500 0.000 S
0.500 0.500 0.500 Sb
0.000 0.000 0.500 N
0.000 0.000 0.000 Ru
```

Results
volume	87.4	Å³/cell


Entry B
A geometry-optimized SbRuS2N structure. Source: Alexandria, functional GGA-PBE.

The structure in POSCAR format:
```
SbRuS2N
1.0
5.046 0.000 0.000
0.000 5.046 0.000
0.000 0.000 3.885
S N Sb Ru
2 1 1 1
Direct
0.000 0.500 0.000 S
0.500 0.000 0.000 S
0.000 0.000 0.500 N
0.000 0.000 0.000 Sb
0.500 0.500 0.500 Ru
```

Results
volume	98.9	Å³/cell


Structures ranked by computed energy, the most stable listed first: entry A, entry B.


Entry A
A geometry-optimized RuSeSN2 structure. Source: Alexandria, functional GGA-PBE.

The structure in POSCAR format:
```
RuSeSN2
1.0
-1.441 -3.062 0.474
2.594 -0.906 2.031
-3.748 2.690 5.988
N Se Ru S
2 1 1 1
Direct
0.000 0.500 0.000 N
0.500 0.000 0.000 N
0.000 0.000 0.500 Se
0.500 0.500 0.500 Ru
0.000 0.000 0.000 S
```

Results
volume	88.3	Å³/cell


Entry B
A geometry-optimized RuSeSN2 structure. Source: Alexandria, functional GGA-PBE.

The structure in POSCAR format:
```
RuSeSN2
1.0
3.756 0.000 0.000
0.000 3.756 0.000
0.000 0.000 5.399
Ru Se N S
1 1 2 1
Direct
0.000 0.000 0.000 Ru
0.500 0.500 0.500 Se
0.500 0.000 0.000 N
0.000 0.500 0.000 N
0.000 0.000 0.500 S
```

Results
volume	76.1	Å³/cell


Entry C
A geometry-optimized RuSeSN2 structure. Source: Alexandria, functional GGA-PBE.

The structure in POSCAR format:
```
RuSeSN2
1.0
-0.568 -3.625 0.695
3.690 -0.549 0.151
-0.068 1.075 5.554
Se S N Ru
1 1 2 1
Direct
0.000 0.000 0.500 Se
0.500 0.500 0.500 S
0.500 0.000 0.000 N
0.000 0.500 0.000 N
0.000 0.000 0.000 Ru
```

Results
volume	78.9	Å³/cell


Structures ranked by computed energy, the most stable listed first: entry C, entry B, entry A.